(1)
Compound: RbNaHf2Cr
Source: Alexandria via LeMat-Bulk
Functional: PBE
Structure: optimized geometry

Cell and atoms, written as extended XYZ:
```
5
Lattice="-3.689 -1.449 -2.715 3.912 -0.554 -5.019 0.904 -4.562 1.208" Properties=species:S:1:pos:R:3 pbc="T T T"
Rb 0.563 -3.282 -3.263
Cr 0.000 0.000 0.000
Hf -1.844 -0.725 -1.358
Hf 0.452 -2.281 0.604
Na 1.956 -0.277 -2.509
```

Results
ΔH_f (0 K) = 0.8894 eV/atom
VASP energy = -5.47 eV per atom
Space-group type = No. 123



(2)
Compound: RbNaHfCr2
Source: Alexandria via LeMat-Bulk
Functional: PBE
Structure: optimized geometry

Cell and atoms, written as extended XYZ:
```
5
Lattice="-1.424 0.082 4.830 -1.852 -6.068 -0.444 4.602 -1.506 1.382" Properties=species:S:1:pos:R:3 pbc="T T T"
Cr 2.301 -0.753 0.691
Cr -0.712 0.041 2.415
Hf 0.000 0.000 0.000
Na 0.663 -3.746 2.884
Rb -0.926 -3.034 -0.222
```

Results
ΔH_f (0 K) = 1.4845 eV/atom
VASP energy = -4.81 eV per atom
Space-group type = No. 123



(3)
Compound: NaHf2ScCr
Source: Alexandria via LeMat-Bulk
Functional: PBE
Structure: optimized geometry

Cell and atoms, written as extended XYZ:
```
5
Lattice="-1.449 2.726 -3.863 -2.400 -3.730 -1.732 -4.018 1.420 2.509" Properties=species:S:1:pos:R:3 pbc="T T T"
Hf -2.009 0.710 1.255
Hf -0.724 1.363 -1.931
Sc 0.000 0.000 0.000
Na -1.200 -1.865 -0.866
Cr -3.933 0.208 -1.543
```

Results
ΔH_f (0 K) = 1.8959 eV/atom
VASP energy = -5.54 eV per atom
Space-group type = No. 123



Among the records above, which one has the highest VASP energy? RbNaHfCr2



Which of these has the lowest ΔH_f (0 K)? RbNaHf2Cr



Copy entry 2 word for word.
Compound: RbNaHfCr2
Source: Alexandria via LeMat-Bulk
Functional: PBE
Structure: optimized geometry

Cell and atoms, written as extended XYZ:
```
5
Lattice="-1.424 0.082 4.830 -1.852 -6.068 -0.444 4.602 -1.506 1.382" Properties=species:S:1:pos:R:3 pbc="T T T"
Cr 2.301 -0.753 0.691
Cr -0.712 0.041 2.415
Hf 0.000 0.000 0.000
Na 0.663 -3.746 2.884
Rb -0.926 -3.034 -0.222
```

Results
ΔH_f (0 K) = 1.4845 eV/atom
VASP energy = -4.81 eV per atom
Space-group type = No. 123